[1]
VASP calculation (PBEsol) on CaCdPb3 after structural relaxation.

Cell and atoms, written as CIF:
```
data_CaCdPb3
_chemical_formula_sum 'Ca1 Cd1 Pb3'
_cell_length_a 5.579
_cell_length_b 5.579
_cell_length_c 5.579
_cell_angle_alpha 90.00
_cell_angle_beta 90.00
_cell_angle_gamma 90.00
_space_group_name_H-M_alt 'P 1'
_space_group_IT_number 1
loop_
_space_group_symop_operation_xyz
'x,y,z'
loop_
_atom_site_label
_atom_site_type_symbol
_atom_site_fract_x
_atom_site_fract_y
_atom_site_fract_z
Pb1 Pb 0.500 0.000 0.000
Ca1 Ca 0.500 0.500 0.500
Cd1 Cd 0.000 0.000 0.000
Pb2 Pb 0.000 0.000 0.500
Pb3 Pb 0.000 0.500 0.000
```

Values from the calculation:
ΔH_f (0 K)   0.20 eV/atom
Symmetry   No. 221



[2]
VASP calculation (PBEsol) on CaCdPb2 after structural relaxation.

Cell and atoms, written as CIF:
```
data_CaCdPb2
_chemical_formula_sum 'Ca1 Cd1 Pb2'
_cell_length_a 5.414
_cell_length_b 5.414
_cell_length_c 5.414
_cell_angle_alpha 60.00
_cell_angle_beta 60.00
_cell_angle_gamma 60.00
_space_group_name_H-M_alt 'P 1'
_space_group_IT_number 1
loop_
_space_group_symop_operation_xyz
'x,y,z'
loop_
_atom_site_label
_atom_site_type_symbol
_atom_site_fract_x
_atom_site_fract_y
_atom_site_fract_z
Pb1 Pb 0.750 0.750 0.750
Pb2 Pb 0.000 0.000 0.000
Ca1 Ca 0.500 0.500 0.500
Cd1 Cd 0.250 0.250 0.250
```

Values from the calculation:
ΔH_f (0 K)   -0.23 eV/atom
Symmetry   No. 216



[3]
VASP calculation (PBEsol) on CaCdPb2 after structural relaxation.

Cell and atoms, written as CIF:
```
data_CaCdPb2
_chemical_formula_sum 'Ca1 Cd1 Pb2'
_cell_length_a 4.608
_cell_length_b 4.609
_cell_length_c 5.990
_cell_angle_alpha 112.63
_cell_angle_beta 112.62
_cell_angle_gamma 90.00
_space_group_name_H-M_alt 'P 1'
_space_group_IT_number 1
loop_
_space_group_symop_operation_xyz
'x,y,z'
loop_
_atom_site_label
_atom_site_type_symbol
_atom_site_fract_x
_atom_site_fract_y
_atom_site_fract_z
Cd1 Cd 0.250 0.750 0.500
Pb1 Pb 0.000 0.000 0.000
Ca1 Ca 0.500 0.500 0.000
Pb2 Pb 0.750 0.250 0.500
```

Values from the calculation:
ΔH_f (0 K)   -0.29 eV/atom
Symmetry   No. 119



| no. | Fermi-level density of states (states/eV per atom) |
| --- | --- |
| 1 | 0.50 |
| 2 | 0.33 |
| 3 | 0.43 |